VASP calculation (PBE) on a relaxed structure of LaRuS2.

extended XYZ file:
```
8
Lattice="5.299 0.000 0.000 0.000 5.299 0.000 2.649 2.649 6.725" Properties=species:S:1:pos:R:3 pbc="T T T"
Ru 2.649 2.649 0.000
Ru 2.649 5.299 3.362
S 3.530 1.325 1.681
S 1.769 3.974 1.681
S 3.974 4.418 5.043
S 6.624 6.179 5.043
La 0.000 0.000 0.000
La 5.299 2.649 3.362
```

* ΔE to the lowest computed polymorph: 0 meV per atom
* M_tot: 0.0 μB/f.u.
* formation energy without anion corrections: -0.91 eV per atom
* total DFT energy (no corrections): -6.52 eV/atom
* V: 188.81 Å³ per cell